Entry from the Alexandria database: crystalline LaY2Rh2 at its relaxed geometry (GGA-PBEsol).

a = 3.9731 Å, b = 7.5622 Å, c = 7.5622 Å
α = 90.00°, β = 90.00°, γ = 90.00°
Closest atoms and distances in Å follow each position.
Fractional positions:
Rh (0.0000, 0.1409, 0.3591)  2 La 2.92, 6 Y 2.94-3.00, 1 Rh 3.01
Rh (0.0000, 0.6409, 0.1409)  2 La 2.92, 6 Y 2.94-3.00, 1 Rh 3.01
Rh (0.0000, 0.8591, 0.6409)  2 La 2.92, 6 Y 2.94-3.00, 1 Rh 3.01
Rh (0.0000, 0.3591, 0.8591)  2 La 2.92, 6 Y 2.94-3.00, 1 Rh 3.01
La (0.0000, 0.5000, 0.5000)  4 Rh 2.92
La (0.0000, 0.0000, 0.0000)  4 Rh 2.92
Y (0.5000, 0.8440, 0.3440)  6 Rh 2.94-3.00
Y (0.5000, 0.1560, 0.6560)  6 Rh 2.94-3.00
Y (0.5000, 0.3440, 0.1560)  6 Rh 2.94-3.00
Y (0.5000, 0.6560, 0.8440)  6 Rh 2.94-3.00

total moment = 0.00 μB/cell
calculated volume = 227.2 Å³ per cell
final energy = -7.64 eV/atom
DOS at the Fermi energy = 7.512 states/eV per cell